This record from Alexandria via LeMat-Bulk describes a relaxed structure of BeRh2. The functional is PBE.

Output
- D(E_F) (states/eV per atom) = 0.999
- crystal system = cubic
- symmetry = No. 227
- ΔE_f (eV/atom) = -0.345

a = 7.423 Å, b = 7.423 Å, c = 7.423 Å
α = 60.00°, β = 60.00°, γ = 60.00°
Element x y z (fractional)
Rh 0.690 0.690 0.560
Rh 0.690 0.060 0.560
Rh 0.500 0.500 0.500
Rh 0.310 0.940 0.440
Rh 0.940 0.310 0.440
Rh 0.000 0.500 0.000
Rh 0.060 0.690 0.190
Rh 0.310 0.940 0.810
Rh 0.060 0.060 0.190
Rh 0.060 0.690 0.560
Rh 0.940 0.310 0.810
Rh 0.940 0.940 0.810
Rh 0.500 0.000 0.000
Rh 0.690 0.060 0.190
Rh 0.310 0.310 0.440
Rh 0.500 0.500 0.000
Be 0.717 0.717 0.850
Be 0.717 0.717 0.217
Be 0.717 0.350 0.217
Be 0.650 0.283 0.783
Be 0.350 0.717 0.217
Be 0.283 0.283 0.783
Be 0.283 0.283 0.150
Be 0.283 0.650 0.783


This record from Alexandria via LeMat-Bulk describes a relaxed structure of Ni6B2Pt. The functional is PBE.

Output
- D(E_F) (states/eV per atom) = 0.937
- crystal system = orthorhombic
- symmetry = No. 71
- ΔE_f (eV/atom) = -0.102

a = 2.581 Å, b = 6.186 Å, c = 6.186 Å
α = 93.19°, β = 77.97°, γ = 77.97°
Element x y z (fractional)
B 0.384 0.617 0.617
B 0.616 0.383 0.383
Ni 0.500 0.700 0.300
Ni 0.252 0.379 0.116
Ni 0.500 0.300 0.700
Ni 0.748 0.884 0.621
Ni 0.748 0.621 0.884
Ni 0.252 0.116 0.379
Pt 0.000 0.000 0.000


This record from Alexandria via LeMat-Bulk describes a relaxed structure of KNa2Cl3. The functional is PBE.

Output
- D(E_F) (states/eV per atom) = 0.000
- formation energy without anion corrections (eV/atom) = -1.743
- crystal system = orthorhombic
- symmetry = No. 63

a = 7.306 Å, b = 7.243 Å, c = 7.243 Å
α = 62.04°, β = 90.00°, γ = 90.00°
Element x y z (fractional)
Cl 0.250 0.499 0.104
Cl 0.750 0.501 0.896
Cl 0.250 0.085 0.915
Cl 0.750 0.915 0.085
Cl 0.750 0.104 0.499
Cl 0.250 0.896 0.501
Na 0.000 0.832 0.832
Na 0.000 0.168 0.168
Na 0.500 0.832 0.832
Na 0.500 0.168 0.168
K 0.250 0.476 0.524
K 0.750 0.524 0.476


This record from Alexandria via LeMat-Bulk describes a relaxed structure of Pr2YOs. The functional is PBE.

Output
- D(E_F) (states/eV per atom) = 0.966
- crystal system = orthorhombic
- symmetry = No. 62
- ΔE_f (eV/atom) = -0.115

a = 6.469 Å, b = 7.500 Å, c = 9.620 Å
α = 90.00°, β = 90.00°, γ = 90.00°
Element x y z (fractional)
Pr 0.670 0.824 0.565
Pr 0.830 0.324 0.935
Pr 0.330 0.176 0.065
Pr 0.830 0.324 0.565
Pr 0.330 0.176 0.435
Pr 0.170 0.676 0.435
Pr 0.170 0.676 0.065
Pr 0.670 0.824 0.935
Os 0.540 0.116 0.750
Os 0.040 0.384 0.250
Os 0.960 0.616 0.750
Os 0.460 0.884 0.250
Y 0.642 0.543 0.250
Y 0.358 0.457 0.750
Y 0.142 0.957 0.750
Y 0.858 0.043 0.250


This record from Alexandria via LeMat-Bulk describes a relaxed structure of Tb2SmHoSe5. The functional is PBE.

Output
- D(E_F) (states/eV per atom) = 0.559
- formation energy without anion corrections (eV/atom) = -1.154
- crystal system = tetragonal
- symmetry = No. 123

a = 5.121 Å, b = 5.121 Å, c = 10.887 Å
α = 90.00°, β = 90.00°, γ = 90.00°
Element x y z (fractional)
Tb 0.500 0.500 0.658
Tb 0.500 0.500 0.342
Se 0.000 0.000 0.250
Se 0.000 0.000 0.750
Se 0.500 0.500 0.000
Se 0.000 0.500 0.500
Se 0.500 0.000 0.500
Ho 0.000 0.000 0.500
Sm 0.000 0.000 0.000


This record from Alexandria via LeMat-Bulk describes a relaxed structure of Sc2BiRh. The functional is PBE.

Output
- D(E_F) (states/eV per atom) = 0.622
- crystal system = trigonal
- symmetry = No. 166
- ΔE_f (eV/atom) = -0.362

a = 9.313 Å, b = 9.313 Å, c = 9.313 Å
α = 22.60°, β = 22.60°, γ = 22.60°
Element x y z (fractional)
Bi 0.000 0.000 0.000
Sc 0.889 0.889 0.889
Sc 0.111 0.111 0.111
Rh 0.500 0.500 0.500


| no. | total energy (eV per atom) |
| --- | --- |
| 1 | -6.488 |
| 2 | -6.111 |
| 3 | -3.289 |
| 4 | -6.928 |
| 5 | -5.152 |
| 6 | -6.336 |